Computed, not measured: an optimized crystal structure of CaNd2Hg at the PBE-GGA level of DFT.

Unit cell a=11.3441 b=11.3441 c=11.3441 alpha=19.20 beta=19.20 gamma=19.20
Last column: nearest neighbours and their distance in Å.
Element x y z (fractional)
Ca (0.0000, 0.0000, 0.0000)  6 Ca 3.78, 6 Nd 3.83-3.85
Nd (0.2386, 0.2386, 0.2386)  3 Hg 3.25
Nd (0.4274, 0.4274, 0.4274)  3 Hg 3.26
Hg (0.8331, 0.8331, 0.8331)  6 Nd 3.25-3.26

Uncorrected energy ... -12.24 eV per cell
E above lowest polymorph ... 0.107 eV per atom
Spin magnetization ... 0.000 μB/atom
ΔE_f ... -0.0996 eV/atom

Computed, not measured: an optimized crystal structure of SiIrSe2 at the PBE-GGA level of DFT.

Unit cell a=3.1579 b=3.1579 c=7.0073 alpha=90.00 beta=90.00 gamma=90.00
Last column: nearest neighbours and their distance in Å.
Element x y z (fractional)
Si (0.0000, 0.0000, 0.0000)  8 Se 2.95, 4 Si 3.16
Ir (0.0000, 0.0000, 0.5000)  8 Se 2.73
Se (0.5000, 0.5000, 0.2751)  4 Ir 2.73, 4 Si 2.95
Se (0.5000, 0.5000, 0.7249)  4 Ir 2.73, 4 Si 2.95

Uncorrected energy ... -19.05 eV per cell
ΔE_f (raw) ... 2.204 eV/f.u.
Spin magnetization ... 0.000 μB/atom